An optimized crystal structure of SnMoIF2. Source: the Alexandria database, functional GGA+U. Values from VASP.

Properties
N(E_F) (states/eV/cell): 2.93
Total energy (eV per atom): -3.311
Total magnetization (μB/f.u.): 4.328
Symmetry: P4/mmm
Theoretical density (g/cm3): 4.9

Quantum ESPRESSO input file:
```
&SYSTEM
  ibrav = 0, nat = 5, ntyp = 4
/
ATOMIC_SPECIES
Sn 118.71 Sn.upf
Mo 95.94 Mo.upf
I 126.90 I.upf
F 19.00 F.upf
ATOMIC_POSITIONS crystal
Sn 0.000 0.000 0.000
Mo 0.500 0.500 0.000
I 0.000 0.000 0.500
F 0.000 0.500 0.500
F 0.500 0.000 0.500
CELL_PARAMETERS angstrom
4.545 0.000 0.000
0.000 4.545 0.000
0.000 0.000 6.226
```

An optimized crystal structure of TeMoI2F. Source: the Alexandria database, functional GGA+U. Values from VASP.

Properties
N(E_F) (states/eV/cell): 9.35
Total magnetization (μB/f.u.): 1.311
Energy above the lowest structure with this stoichiometry (kJ/mol of atoms): 0.0
Symmetry: P4/mmm
Theoretical density (g/cm3): 4.7

Quantum ESPRESSO input file:
```
&SYSTEM
  ibrav = 0, nat = 5, ntyp = 4
/
ATOMIC_SPECIES
Te 127.60 Te.upf
Mo 95.94 Mo.upf
I 126.90 I.upf
F 19.00 F.upf
ATOMIC_POSITIONS crystal
Te 0.000 0.000 0.000
Mo 0.000 0.000 0.500
I 0.000 0.500 0.500
I 0.500 0.000 0.500
F 0.500 0.500 0.000
CELL_PARAMETERS angstrom
5.622 0.000 0.000
0.000 5.622 0.000
0.000 0.000 5.523
```

An optimized crystal structure of Te2MoIF. Source: the Alexandria database, functional GGA+U. Values from VASP.

Properties
N(E_F) (states/eV/cell): 7.12
Total magnetization (μB/f.u.): 0.827
Energy above the lowest structure with this stoichiometry (kJ/mol of atoms): 6.7
Symmetry: P4/mmm
Theoretical density (g/cm3): 5.0

Quantum ESPRESSO input file:
```
&SYSTEM
  ibrav = 0, nat = 5, ntyp = 4
/
ATOMIC_SPECIES
Te 127.60 Te.upf
Mo 95.94 Mo.upf
I 126.90 I.upf
F 19.00 F.upf
ATOMIC_POSITIONS crystal
Te 0.000 0.500 0.000
Te 0.500 0.000 0.000
Mo 0.000 0.000 0.000
I 0.000 0.000 0.500
F 0.500 0.500 0.500
CELL_PARAMETERS angstrom
5.414 0.000 0.000
0.000 5.414 0.000
0.000 0.000 5.667
```

An optimized crystal structure of Te2MoIF. Source: the Alexandria database, functional GGA+U. Values from VASP.

Properties
N(E_F) (states/eV/cell): 4.54
Total magnetization (μB/f.u.): 4.306
Energy above the lowest structure with this stoichiometry (kJ/mol of atoms): 0.0
Symmetry: P4/mmm
Theoretical density (g/cm3): 5.4

Quantum ESPRESSO input file:
```
&SYSTEM
  ibrav = 0, nat = 5, ntyp = 4
/
ATOMIC_SPECIES
Te 127.60 Te.upf
Mo 95.94 Mo.upf
I 126.90 I.upf
F 19.00 F.upf
ATOMIC_POSITIONS crystal
Te 0.000 0.500 0.000
Te 0.500 0.000 0.000
Mo 0.000 0.000 0.500
I 0.500 0.500 0.500
F 0.500 0.500 0.000
CELL_PARAMETERS angstrom
4.650 0.000 0.000
0.000 4.650 0.000
0.000 0.000 7.061
```